Entry 1:
The following is a DFT calculation (PBE) of AgB2As after structural relaxation.

## Properties
V, A^3/atom: 13.9
SG: No. 216
Total energy, eV per atom: -3.52

Structure (POSCAR):
```
AgB2As
1.0
0.0000 3.0279 3.0279
3.0279 0.0000 3.0279
3.0279 3.0279 0.0000
Ag As B
1 1 2
Direct
0.5000 0.5000 0.5000 Ag
0.7500 0.7500 0.7500 As
0.0000 0.0000 0.0000 B
0.2500 0.2500 0.2500 B
```

Entry 2:
The following is a DFT calculation (PBE) of BaAgAs2 after structural relaxation.

## Properties
V, A^3/atom: 25.2
SG: No. 216
Total energy, eV per atom: -3.59

Structure (POSCAR):
```
BaAgAs2
1.0
-2.1234 -4.5537 -1.4401
-3.3322 -2.4552 3.1917
-5.0780 -0.2482 -1.2129
Ba As Ag
1 2 1
Direct
0.7500 0.7500 0.7500 Ba
0.2500 0.2500 0.2500 As
0.0000 0.0000 0.0000 As
0.5000 0.5000 0.5000 Ag
```

Entry 3:
The following is a DFT calculation (PBE) of BaAgAs2 after structural relaxation.

## Properties
V, A^3/atom: 25.7
SG: No. 63
Total energy, eV per atom: -4.11

Structure (POSCAR):
```
BaAgAs2
1.0
-7.1838 5.2468 2.6691
4.7792 -7.9452 0.5408
2.6279 1.8188 3.4975
As Ag Ba
4 2 2
Direct
0.2491 0.7509 0.2500 As
0.7509 0.2491 0.7500 As
0.5306 0.4694 0.2500 As
0.4694 0.5306 0.7500 As
0.6787 0.3213 0.2500 Ag
0.3213 0.6787 0.7500 Ag
0.8950 0.1050 0.2500 Ba
0.1050 0.8950 0.7500 Ba
```

Entry 4:
The following is a DFT calculation (PBE) of Ba2AgAs2 after structural relaxation.

## Properties
V, A^3/atom: 32.7
Distance to the lowest polymorph of the same formula, meV/atom: 0
SG: No. 36
Total energy, eV per atom: -3.97

Structure (POSCAR):
```
Ba2AgAs2
1.0
6.5266 2.2779 5.6275
-8.6711 -0.3047 -2.0429
-0.6067 -7.3216 3.6673
As Ba Ag
4 4 2
Direct
0.5631 0.4369 0.9238 As
0.1629 0.8371 0.5114 As
0.4369 0.5631 0.4238 As
0.8371 0.1629 0.0114 As
0.9652 0.0348 0.7244 Ba
0.2100 0.7900 0.8903 Ba
0.0348 0.9652 0.2244 Ba
0.7900 0.2100 0.3903 Ba
0.5966 0.4034 0.5841 Ag
0.4034 0.5966 0.0841 Ag
```

Entry 5:
The following is a DFT calculation (PBE) of BaAg2As2 after structural relaxation.

## Properties
V, A^3/atom: 23.9
SG: No. 139
Total energy, eV per atom: -3.87

Structure (POSCAR):
```
BaAg2As2
1.0
3.2349 -3.2349 0.0000
3.2349 3.2349 0.0000
-3.2348 0.0000 5.7100
Ag As Ba
2 2 1
Direct
0.7500 0.2500 0.5000 Ag
0.2500 0.7500 0.5000 Ag
0.6159 0.6159 0.2318 As
0.3841 0.3841 0.7682 As
0.0000 0.0000 0.0000 Ba
```

Entry 6:
The following is a DFT calculation (PBE) of Ba2AgAs2 after structural relaxation.

## Properties
V, A^3/atom: 32.4
Distance to the lowest polymorph of the same formula, meV/atom: 354
SG: No. 139
Total energy, eV per atom: -3.62

Structure (POSCAR):
```
Ba2AgAs2
1.0
2.0339 1.6431 3.3520
-3.2983 2.5789 0.7371
-3.0597 -8.3465 3.2520
As Ag Ba
2 1 2
Direct
0.7500 0.2500 0.5000 As
0.2500 0.7500 0.5000 As
0.0000 0.0000 0.0000 Ag
0.3865 0.3865 0.7729 Ba
0.6135 0.6135 0.2271 Ba
```

Entry 7:
The following is a DFT calculation (PBE) of BaAgAs after structural relaxation.

## Properties
V, A^3/atom: 28.7
SG: No. 194
Total energy, eV per atom: -3.52

Structure (POSCAR):
```
BaAgAs
1.0
5.4747 0.0000 0.0000
-2.7373 4.7412 0.0000
0.0000 0.0000 6.6285
As Ag Ba
2 2 2
Direct
0.6667 0.3333 0.7500 As
0.3333 0.6667 0.2500 As
0.0000 0.0000 0.5000 Ag
0.0000 0.0000 0.0000 Ag
0.6667 0.3333 0.2500 Ba
0.3333 0.6667 0.7500 Ba
```

Entry 8:
The following is a DFT calculation (PBE) of BaAgAs after structural relaxation.

## Properties
V, A^3/atom: 28.4
SG: No. 194
Total energy, eV per atom: -3.93

Structure (POSCAR):
```
BaAgAs
1.0
4.6529 0.0000 0.0000
-2.3265 4.0296 0.0000
0.0000 0.0000 9.0821
Ba As Ag
2 2 2
Direct
0.0000 0.0000 0.5000 Ba
0.0000 0.0000 0.0000 Ba
0.3333 0.6667 0.2500 As
0.6667 0.3333 0.7500 As
0.6667 0.3333 0.2500 Ag
0.3333 0.6667 0.7500 Ag
```

Entry 9:
The following is a DFT calculation (PBE) of BaBeAgAs2 after structural relaxation.

## Properties
V, A^3/atom: 22.3
SG: No. 119
Total energy, eV per atom: -3.95

Structure (POSCAR):
```
BaBeAgAs2
1.0
0.6525 -0.2381 6.8936
4.0058 3.8643 4.1262
-4.5386 0.1804 -5.2319
Be Ba As Ag
1 1 2 1
Direct
0.2500 0.7500 0.5000 Be
0.0000 0.0000 0.0000 Ba
0.3665 0.3665 0.0000 As
0.6335 0.6335 0.0000 As
0.7500 0.2500 0.5000 Ag
```

Entry 10:
The following is a DFT calculation (PBE) of BaAg2BiAs after structural relaxation.

## Properties
V, A^3/atom: 26.7
SG: No. 129
Total energy, eV per atom: -3.73

Structure (POSCAR):
```
BaAg2BiAs
1.0
-4.1888 2.2312 -0.3551
-0.6625 -1.9282 -4.3004
-5.3545 -9.2602 4.9771
As Ba Ag Bi
2 2 4 2
Direct
0.5000 0.0000 0.8772 As
0.0000 0.5000 0.1228 As
0.0000 0.5000 0.7791 Ba
0.5000 0.0000 0.2209 Ba
0.5000 0.5000 0.0000 Ag
0.0000 0.0000 0.0000 Ag
0.0000 0.5000 0.3416 Ag
0.5000 0.0000 0.6584 Ag
0.0000 0.0000 0.5000 Bi
0.5000 0.5000 0.5000 Bi
```

Entry 11:
The following is a DFT calculation (PBE) of BaCdAg2As after structural relaxation.

## Properties
V, A^3/atom: 25.4
SG: No. 107
Total energy, eV per atom: -3.02

Structure (POSCAR):
```
BaCdAg2As
1.0
4.2154 -1.7580 4.9252
-0.2159 -6.1220 2.7554
0.1618 2.8571 -6.0769
Ag Ba Cd As
2 1 1 1
Direct
0.7562 0.2562 0.5000 Ag
0.2562 0.7562 0.5000 Ag
0.9892 0.9892 0.0000 Ba
0.6172 0.6172 0.0000 Cd
0.3811 0.3811 0.0000 As
```

Entry 12:
The following is a DFT calculation (PBE) of BaCoAgAs2 after structural relaxation.

## Properties
V, A^3/atom: 22.1
SG: No. 119
Total energy, eV per atom: -4.60

Structure (POSCAR):
```
BaCoAgAs2
1.0
6.3195 1.5280 1.6374
2.0045 5.4406 3.3667
-4.4769 -4.9896 0.1180
As Co Ag Ba
2 1 1 1
Direct
0.6100 0.1100 0.5000 As
0.8900 0.3900 0.5000 As
0.5000 0.5000 0.0000 Co
0.0000 0.0000 0.0000 Ag
0.2500 0.7500 0.5000 Ba
```